The following is a PBE+U calculation of a geometry-optimized LaMnI2O structure, from the Alexandria database.

Unit cell a=5.9244 b=5.9244 c=3.8512 alpha=90.00 beta=90.00 gamma=90.00
Space group P4/mmm (No. 123)
Symmetry-distinct sites (fractional):
La: 0.0000 0.0000 0.0000 (multiplicity 1)
Mn: 0.5000 0.5000 0.5000 (multiplicity 1)
I: 0.0000 0.5000 0.5000 (multiplicity 2)
O: 0.5000 0.5000 0.0000 (multiplicity 1)

Calculated values
Polymorph energy (0 for the lowest one) in eV per atom: 0.169
N(E_F) in states/eV per cell: 2.94
Theoretical density in g/cm3: 5.696
E_tot in eV for the cell shown: -25.45